Record 1
A geometry-optimized SrNdAgSn structure, computed with PBE.

The value obtained for the formation energy is -0.49 eV per atom.

Cell lengths 5.5133, 5.5133, 5.5133 Å; angles 60.00, 60.00, 60.00 degrees
Closest atoms and distances in Å follow each position.
Fractional coordinates of all 4 atoms:
Sr 0.0000 0.0000 0.0000  4 Ag 3.38, 4 Sn 3.38
Sn 0.2500 0.2500 0.2500  4 Sr 3.38, 4 Nd 3.38
Ag 0.7500 0.7500 0.7500  4 Nd 3.38, 4 Sr 3.38
Nd 0.5000 0.5000 0.5000  4 Sn 3.38, 4 Ag 3.38

Record 2
A geometry-optimized Hf2SiNiTe structure, computed with PBE.

The uncorrected formation energy is -0.127 eV/atom.

Cell lengths 5.0034, 4.0925, 5.0034 Å; angles 90.00, 90.00, 90.00 degrees
Closest atoms and distances in Å follow each position.
Fractional coordinates of all 5 atoms:
Hf 0.5000 0.0000 0.0000  2 Ni 2.50
Hf 0.0000 0.0000 0.5000  2 Ni 2.50
Te 0.5000 0.5000 0.5000  8 Hf 3.23, 4 Si 3.54
Si 0.0000 0.5000 0.0000  2 Ni 2.05
Ni 0.0000 0.0000 0.0000  2 Si 2.05

Record 3
A geometry-optimized Cr2FeAuCl structure, computed with PBE.

The uncorrected formation energy is 1.090 eV/atom.

Cell lengths 5.1072, 4.8446, 5.1072 Å; angles 90.00, 90.00, 90.00 degrees
Closest atoms and distances in Å follow each position.
Fractional coordinates of all 5 atoms:
Au 0.0000 0.0000 0.0000  2 Fe 2.42, 4 Cr 2.55
Cr 0.5000 0.0000 0.0000  2 Au 2.55
Cr 0.0000 0.0000 0.5000  2 Au 2.55
Fe 0.0000 0.5000 0.0000  2 Au 2.42
Cl 0.5000 0.5000 0.5000  8 Cr 3.52, 4 Fe 3.61

Record 4
A geometry-optimized ScCd4Ag3 structure, computed with PBE.

The value obtained for the formation energy is -0.10 eV per atom. Its energy above the lowest structure with this stoichiometry is 0 meV/atom.

Cell lengths 5.0467, 6.4326, 9.8857 Å; angles 90.00, 90.00, 90.00 degrees
Closest atoms and distances in Å follow each position.
Fractional coordinates of all 16 atoms:
Ag 0.6246 0.5000 0.7500  8 Cd 2.99-3.04, 2 Sc 3.11, 2 Ag 3.22
Ag 0.6340 0.0000 0.7500  8 Cd 2.92-3.04, 4 Ag 3.09-3.22
Ag 0.3660 0.0000 0.2500  8 Cd 2.92-3.04, 4 Ag 3.09-3.22
Ag 0.0000 0.0000 0.5000  8 Cd 2.97-3.00, 2 Ag 3.09, 2 Sc 3.22
Ag 0.3754 0.5000 0.2500  8 Cd 2.99-3.04, 2 Sc 3.11, 2 Ag 3.22
Ag 0.0000 0.0000 0.0000  8 Cd 2.97-3.00, 2 Ag 3.09, 2 Sc 3.22
Cd 0.1195 0.2457 0.7500  6 Ag 2.92-3.04, 2 Sc 3.02, 3 Cd 3.13-3.16
Cd 0.5000 0.2421 0.0000  6 Ag 2.97-3.04, 2 Sc 3.02, 4 Cd 3.11-3.32
Cd 0.1195 0.7543 0.7500  6 Ag 2.92-3.04, 2 Sc 3.02, 3 Cd 3.13-3.16
Cd 0.8805 0.2457 0.2500  6 Ag 2.92-3.04, 2 Sc 3.02, 3 Cd 3.13-3.16
Cd 0.8805 0.7543 0.2500  6 Ag 2.92-3.04, 2 Sc 3.02, 3 Cd 3.13-3.16
Cd 0.5000 0.7579 0.5000  6 Ag 2.97-3.04, 2 Sc 3.02, 4 Cd 3.11-3.32
Cd 0.5000 0.7579 0.0000  6 Ag 2.97-3.04, 2 Sc 3.02, 4 Cd 3.11-3.32
Cd 0.5000 0.2421 0.5000  6 Ag 2.97-3.04, 2 Sc 3.02, 4 Cd 3.11-3.32
Sc 0.0000 0.5000 0.5000  8 Cd 3.02, 4 Ag 3.11-3.22
Sc 0.0000 0.5000 0.0000  8 Cd 3.02, 4 Ag 3.11-3.22

Record 5
A geometry-optimized LiCeSeBr structure, computed with PBE.

The uncorrected formation energy is -1.483 eV/atom.

Cell lengths 4.1411, 4.1411, 14.7365 Å; angles 81.92, 81.92, 60.00 degrees
Closest atoms and distances in Å follow each position.
Fractional coordinates of all 8 atoms:
Se 0.3731 0.3731 0.8807  4 Li 2.53-2.65
Se 0.6269 0.6269 0.1193  4 Li 2.53-2.65
Br 0.2082 0.2082 0.3754  3 Ce 3.02
Br 0.7918 0.7918 0.6246  3 Ce 3.02
Ce 0.0827 0.0827 0.7520  3 Br 3.02, 3 Se 3.04
Ce 0.9173 0.9173 0.2480  3 Br 3.02, 3 Se 3.04
Li 0.3124 0.3124 0.0628  4 Se 2.53-2.65
Li 0.6876 0.6876 0.9372  4 Se 2.53-2.65

Record 6
A geometry-optimized BeCdHg2 structure, computed with PBE.

The value obtained for the formation energy is 0.45 eV per atom. Its energy above the lowest structure with this stoichiometry is 223 meV/atom.

Cell lengths 3.0199, 6.0660, 4.6699 Å; angles 90.00, 90.00, 90.00 degrees
Closest atoms and distances in Å follow each position.
Fractional coordinates of all 4 atoms:
Cd 0.0000 0.5000 0.5000  4 Hg 2.78, 2 Cd 3.02
Be 0.5000 0.0000 0.5000  4 Hg 2.78, 2 Be 3.02
Hg 0.5000 0.5000 0.0000  4 Cd 2.78, 2 Hg 3.02
Hg 0.0000 0.0000 0.0000  4 Be 2.78, 2 Hg 3.02

Record 7
A geometry-optimized Cs3NpCu2Cl9 structure, computed with PBE.

The uncorrected formation energy is -1.493 eV/atom.

Cell lengths 7.6855, 7.6855, 9.7395 Å; angles 90.00, 90.00, 120.00 degrees
Closest atoms and distances in Å follow each position.
Fractional coordinates of all 15 atoms:
Cs 0.6667 0.3333 0.3544  1 Cu 3.72, 12 Cl 3.73-4.10
Cs 0.0000 0.0000 0.0000  12 Cl 3.84-3.98
Cs 0.3333 0.6667 0.6456  1 Cu 3.72, 12 Cl 3.73-4.10
Cl 0.8389 0.6777 0.6563  1 Np 2.63
Cl 0.0000 0.5000 0.0000  2 Cu 2.23
Cl 0.5000 0.0000 0.0000  2 Cu 2.23
Cl 0.1611 0.3223 0.3437  1 Np 2.63
Cl 0.8389 0.1611 0.6563  1 Np 2.63
Cl 0.6777 0.8389 0.3437  1 Np 2.63
Cl 0.1611 0.8389 0.3437  1 Np 2.63
Cl 0.5000 0.5000 0.0000  2 Cu 2.23
Cl 0.3223 0.1611 0.6563  1 Np 2.63
Cu 0.3333 0.6667 0.0275  3 Cl 2.23
Cu 0.6667 0.3333 0.9725  3 Cl 2.23
Np 0.0000 0.0000 0.5000  6 Cl 2.63

Record 8
A geometry-optimized TbGa7Co5 structure, computed with PBE.

The value obtained for the formation energy is -0.34 eV per atom.

Cell lengths 5.0962, 6.5167, 6.5167 Å; angles 82.02, 66.98, 66.98 degrees
Closest atoms and distances in Å follow each position.
Fractional coordinates of all 13 atoms:
Tb 0.0059 0.9941 0.9941  8 Ga 2.81-3.07
Ga 0.9799 0.6790 0.3611  5 Co 2.48-2.68, 2 Ga 2.72-2.78
Ga 0.5154 0.7843 0.1850  5 Co 2.43-2.56, 1 Ga 2.69
Ga 0.9799 0.3611 0.6790  5 Co 2.48-2.68, 2 Ga 2.72-2.78
Ga 0.6587 0.3413 0.3413  4 Co 2.59, 5 Ga 2.68-2.83
Ga 0.5154 0.1850 0.7843  5 Co 2.43-2.56, 1 Ga 2.69
Ga 0.2681 0.2319 0.2319  4 Co 2.41, 2 Ga 2.69
Ga 0.3401 0.6599 0.6599  6 Co 2.62-2.70, 1 Ga 2.68, 1 Tb 2.81
Co 0.7328 0.7672 0.7672  6 Ga 2.48-2.70, 4 Co 2.57
Co 0.0120 0.4923 0.0058  7 Ga 2.41-2.68, 3 Co 2.43-2.66
Co 0.4898 0.0058 0.4923  7 Ga 2.41-2.68, 3 Co 2.43-2.66
Co 0.4898 0.4923 0.0058  7 Ga 2.41-2.68, 3 Co 2.43-2.66
Co 0.0120 0.0058 0.4923  7 Ga 2.41-2.68, 3 Co 2.43-2.66

Record 9
A geometry-optimized AcPrSiRh structure, computed with PBE.

The uncorrected formation energy is -0.698 eV/atom. Its energy above the lowest structure with this stoichiometry is 0 meV/atom.

Cell lengths 4.3871, 4.1702, 6.1031 Å; angles 90.00, 111.06, 90.00 degrees
Closest atoms and distances in Å follow each position.
Fractional coordinates of all 4 atoms:
Rh 0.3293 0.0000 0.6587  2 Si 2.56
Ac 0.7516 0.5000 0.5031  4 Rh 3.15, 3 Si 3.23-3.32
Si 0.4601 0.5000 0.9203  2 Rh 2.56
Pr 0.0286 0.0000 0.0572  4 Si 3.13, 3 Rh 3.16-3.43

Record 10
A geometry-optimized Er2ZnCo structure, computed with PBE.

The value obtained for the formation energy is 0.15 eV per atom. Its energy above the lowest structure with this stoichiometry is 437 meV/atom.

Cell lengths 3.7224, 3.7224, 9.4449 Å; angles 78.64, 78.64, 60.00 degrees
Closest atoms and distances in Å follow each position.
Fractional coordinates of all 4 atoms:
Er 0.1135 0.1135 0.6594  3 Co 2.60
Er 0.8865 0.8865 0.3406  3 Co 2.60
Co 0.5000 0.5000 0.5000  6 Er 2.60
Zn 0.0000 0.0000 0.0000  2 Er 3.13

Record 11
A geometry-optimized ScVAs2Pt structure, computed with PBE.

The value obtained for the formation energy is 0.82 eV per atom.

Cell lengths 4.9307, 4.8345, 4.9307 Å; angles 90.00, 90.00, 90.00 degrees
Closest atoms and distances in Å follow each position.
Fractional coordinates of all 5 atoms:
Pt 0.0000 0.5000 0.0000  2 Sc 2.42
As 0.0000 0.0000 0.5000  2 Sc 2.47
As 0.5000 0.0000 0.0000  2 Sc 2.47
V 0.5000 0.5000 0.5000  8 As 3.45, 4 Pt 3.49
Sc 0.0000 0.0000 0.0000  2 Pt 2.42, 4 As 2.47

Record 12
A geometry-optimized Er6Tc2Sn structure, computed with PBE.

The value obtained for the formation energy is -0.28 eV per atom.

Cell lengths 8.4604, 8.4604, 8.4604 Å; angles 103.94, 111.95, 112.66 degrees
Closest atoms and distances in Å follow each position.
Fractional coordinates of all 18 atoms:
Er 0.4670 0.2807 0.1864  3 Tc 2.95-2.97, 1 Sn 3.17
Er 0.9057 0.7193 0.1864  3 Tc 2.95-2.97, 1 Sn 3.17
Er 0.2079 0.2448 0.4528  1 Tc 2.79
Er 0.6860 0.0204 0.3344  3 Tc 2.87-2.95
Er 0.2079 0.7552 0.9631  1 Tc 2.79
Er 0.7921 0.7552 0.5472  1 Tc 2.79
Er 0.0943 0.2807 0.8136  3 Tc 2.95-2.97, 1 Sn 3.17
Er 0.3140 0.6485 0.3344  3 Tc 2.87-2.95
Er 0.6860 0.3515 0.6656  3 Tc 2.87-2.95
Er 0.5330 0.7193 0.8136  3 Tc 2.95-2.97, 1 Sn 3.17
Er 0.7921 0.2448 0.0369  1 Tc 2.79
Er 0.3140 0.9796 0.6656  3 Tc 2.87-2.95
Tc 0.3265 0.0000 0.3265  8 Er 2.79-2.95, 1 Sn 3.09
Tc 0.5000 0.3843 0.8843  1 Tc 2.41
Tc 0.5000 0.6157 0.1157  1 Tc 2.41
Tc 0.6735 0.0000 0.6735  8 Er 2.79-2.95, 1 Sn 3.09
Sn 0.0000 0.0000 0.0000  2 Tc 3.09, 8 Er 3.17-3.22
Sn 0.0000 0.5000 0.5000  12 Er 3.31-3.61